[1]
Density functional theory data (PBE) for a relaxed NiGeRu crystal.

Results
- DOS at the Fermi energy (states/eV/atom) = 1.229
- E (eV per atom) = -6.68
- space-group type = Pmm2 (25)
- DFT formation energy (eV/atom) = -0.124

Cell lengths 2.828, 3.978, 7.101 Å; angles 90.00, 90.00, 90.00 degrees
Atoms (fractional coordinates):
Ni: 0.000 0.000 0.000
Ni: 0.500 0.000 0.312
Ge: 0.000 0.500 0.188
Ge: 0.500 0.000 0.656
Ru: 0.000 0.500 0.536
Ru: 0.500 0.500 0.872

[2]
Density functional theory data (PBE) for a relaxed Hg2SbP crystal.

Results
- DOS at the Fermi energy (states/eV/atom) = 0.634
- E (eV per atom) = -2.09
- space-group type = Pmmm (47)
- formation energy without anion corrections (eV per atom) = 0.442
- ΔE to the lowest computed polymorph (meV/atom) = 357.2

Cell lengths 3.005, 5.436, 6.379 Å; angles 90.00, 90.00, 90.00 degrees
Atoms (fractional coordinates):
Hg: 0.000 0.249 0.000
Hg: 0.000 0.751 0.000
Sb: 0.500 0.500 0.500
P: 0.500 0.000 0.500

[3]
Density functional theory data (PBE) for a relaxed BePdSe crystal.

Results
- DOS at the Fermi energy (states/eV/atom) = 0.548
- E (eV per atom) = -3.93
- space-group type = P6_3/mmc (194)
- formation energy without anion corrections (eV per atom) = 0.209

Cell lengths 4.476, 4.476, 5.322 Å; angles 90.00, 90.00, 120.00 degrees
Atoms (fractional coordinates):
Be: 0.000 0.000 0.000
Be: 0.000 0.000 0.500
Pd: 0.333 0.667 0.250
Pd: 0.667 0.333 0.750
Se: 0.333 0.667 0.750
Se: 0.667 0.333 0.250

[4]
Density functional theory data (PBE) for a relaxed Pa3S crystal.

Results
- DOS at the Fermi energy (states/eV/atom) = 2.072
- E (eV per atom) = -8.41
- space-group type = Pmm2 (25)
- formation energy without anion corrections (eV per atom) = -0.254
- ΔE to the lowest computed polymorph (meV/atom) = 243.2

Cell lengths 4.008, 5.771, 3.991 Å; angles 90.00, 90.00, 90.00 degrees
Atoms (fractional coordinates):
Pa: 0.000 0.000 0.000
Pa: 0.000 0.500 0.110
Pa: 0.500 0.000 0.484
S: 0.500 0.500 0.600

[5]
Density functional theory data (PBE) for a relaxed MoCSeN2 crystal.

Results
- DOS at the Fermi energy (states/eV/atom) = 0.639
- E (eV per atom) = -6.40
- space-group type = P4/mmm (123)
- formation energy without anion corrections (eV per atom) = 1.635
- ΔE to the lowest computed polymorph (meV/atom) = 0.0

Cell lengths 3.823, 3.823, 5.375 Å; angles 90.00, 90.00, 90.00 degrees
Atoms (fractional coordinates):
Mo: 0.000 0.000 0.000
C: 0.500 0.500 0.500
Se: 0.000 0.000 0.500
N: 0.000 0.500 0.000
N: 0.500 0.000 0.000

[6]
Density functional theory data (PBE) for a relaxed AlFe2Ir crystal.

Results
- DOS at the Fermi energy (states/eV/atom) = 0.935
- E (eV per atom) = -7.57
- space-group type = C2/m (12)
- DFT formation energy (eV/atom) = -0.189

Cell lengths 4.966, 4.966, 2.703 Å; angles 101.61, 101.61, 119.59 degrees
Atoms (fractional coordinates):
Al: 0.000 0.000 0.000
Fe: 0.000 0.500 0.500
Fe: 0.500 0.000 0.500
Ir: 0.500 0.500 0.000